The following is a DFT calculation (meta-GGA SCAN) of a crystal of Zr2Si4Ru3 relaxed with PBEsol.

```
Zr2Si4Ru3
1.0
5.3254 0.0000 0.0000
2.6627 9.4312 0.0045
2.6627 1.3366 10.4685
Ru Si Zr
12 16 8
Cartesian
7.4013 4.2920 6.1258
7.4013 2.4284 9.5793
3.2495 6.4757 4.3472
3.2495 8.3394 0.8938
8.4654 8.0599 8.1576
5.8027 8.0918 7.5520
2.1854 2.7079 2.3155
4.8481 2.6760 2.9211
4.5795 4.1874 9.7876
4.5795 2.5330 5.9175
6.0713 6.5803 0.6854
6.0713 8.2348 4.5556
9.8961 9.4885 9.3723
7.2334 6.6632 6.3372
0.7547 1.2793 1.1007
3.4174 4.1046 4.1358
4.6683 6.6087 9.3783
7.3310 9.5429 6.3313
5.9825 4.1590 1.0948
3.3198 1.2248 4.1417
4.0310 8.0729 5.9134
6.6937 8.0788 9.7962
6.6198 2.6949 4.5597
3.9571 2.6890 0.6768
5.9645 3.3602 7.8525
4.6863 7.4076 2.6205
3.3590 3.3602 7.8525
7.2918 7.4076 2.6205
1.9886 1.1346 6.6764
7.3139 5.5859 9.0287
8.6622 9.6332 3.7967
3.3368 5.1819 1.4443
4.6488 5.5684 6.7833
4.6488 1.1521 8.9218
6.0020 5.1994 3.6897
6.0020 9.6157 1.5513
```

Computed properties:
DOS(E_F) (states/eV/cell): 10.50
Symmetry: C2/c
Total energy (eV per atom): -23.84

The following is a DFT calculation (meta-GGA SCAN) of a crystal of ReClF2 relaxed with PBEsol.

```
ReClF2
1.0
-0.2947 3.9539 1.2367
-1.5435 2.8712 -2.5736
-3.7287 1.6696 0.7477
Re F Cl
1 2 1
Cartesian
-2.7835 4.2474 -0.2946
-1.3917 2.1237 -0.1473
-4.1752 6.3710 -0.4419
0.0000 0.0000 0.0000
```

Computed properties:
DOS(E_F) (states/eV/cell): 2.35
Symmetry: Fm-3m
Total energy (eV per atom): -21.41

The following is a DFT calculation (meta-GGA SCAN) of a crystal of KTaBr2 relaxed with PBEsol.

```
KTaBr2
1.0
-2.5646 0.3257 2.0260
-3.2051 -3.5108 -3.4927
4.6506 -3.3817 3.7682
Br K Ta
2 1 1
Cartesian
-1.1534 -5.5731 2.0982
-0.3714 -1.7468 2.4730
-2.5349 -2.0301 -0.2200
-1.0632 -5.3762 -0.4815
```

Computed properties:
DOS(E_F) (states/eV/cell): 1.12
Symmetry: Cm
Total energy (eV per atom): -28.58

The following is a DFT calculation (meta-GGA SCAN) of a crystal of LiAg2 relaxed with PBEsol.

```
LiAg2
1.0
8.0300 0.0000 0.0000
4.0150 6.9542 0.0000
4.0150 2.3181 6.5565
Ag Li
16 8
Cartesian
4.0150 2.3181 4.0978
4.0150 4.6361 0.8196
6.0225 1.1590 0.8196
2.0075 1.1590 0.8196
12.0451 5.2102 3.6841
10.5347 7.8262 3.6841
10.5347 6.0822 6.1506
13.5555 7.8262 3.6841
13.5555 6.0822 6.1506
12.0451 8.6983 6.1506
8.0300 6.3802 4.5115
9.5404 3.7641 4.5115
9.5404 5.5082 2.0450
6.5196 3.7641 4.5115
6.5196 5.5082 2.0450
8.0300 2.8921 2.0450
5.4984 3.1745 2.2447
10.5617 3.1745 2.2447
8.0300 7.5595 2.2447
8.0300 4.6361 6.3789
14.5767 8.4159 5.9509
9.5134 8.4159 5.9509
12.0451 4.0309 5.9509
12.0451 6.9542 1.8167
```

Computed properties:
DOS(E_F) (states/eV/cell): 4.04
E above lowest polymorph (meV per atom): 86
Symmetry: Fd-3m
Total energy (eV per atom): -21.78
ΔE_f (kcal/mol of atoms): -1.6

The following is a DFT calculation (meta-GGA SCAN) of a crystal of SbAsAu2 relaxed with PBEsol.

```
SbAsAu2
1.0
-2.8849 -2.2007 1.4042
0.4562 -1.8851 3.3728
-3.1182 3.6516 4.7068
Sb As Au
1 1 2
Cartesian
-2.8146 -0.1278 4.7974
-1.3077 -0.2803 2.2643
-2.4552 -4.0285 4.8127
-4.1910 -0.2588 7.1544
```

Computed properties:
DOS(E_F) (states/eV/cell): 1.63
E above lowest polymorph (meV per atom): 1
Symmetry: R3m
Total energy (eV per atom): -49.00

The following is a DFT calculation (meta-GGA SCAN) of a crystal of AlZn2Cu relaxed with PBEsol.

```
AlZn2Cu
1.0
-1.6845 -1.9233 -0.9703
3.6171 -2.6425 -0.4453
-0.6277 -1.5661 4.1944
Zn Al Cu
2 1 1
Cartesian
0.4914 -1.1697 -0.3632
1.4413 -3.3961 -1.0524
-0.3139 -0.7831 2.0972
0.6525 -3.0660 1.3894
```

Computed properties:
DOS(E_F) (states/eV/cell): 0.86
Symmetry: P2/m
Total energy (eV per atom): -12.54
ΔE_f (kcal/mol of atoms): -1.1

The following is a DFT calculation (meta-GGA SCAN) of a crystal of Al2CdW relaxed with PBEsol.

```
Al2CdW
1.0
3.6042 0.0000 0.0000
0.0000 4.2000 0.0000
0.0000 0.0000 4.2000
Al W Cd
2 1 1
Cartesian
0.0000 0.0000 2.1000
0.0000 2.1000 0.0000
1.8021 0.0000 0.0000
1.8021 2.1000 2.1000
```

Computed properties:
DOS(E_F) (states/eV/cell): 2.40
Symmetry: P4/mmm
Total energy (eV per atom): -28.67
ΔE_f (kcal/mol of atoms): 5.3

The following is a DFT calculation (meta-GGA SCAN) of a crystal of Ti3Nb2V3O16 relaxed with PBEsol.

```
Ti3Nb2V3O16
1.0
5.8369 -0.0323 -0.0226
-2.8942 5.0737 0.0090
-0.0620 -0.0522 9.3422
Ti Nb V O
3 2 3 16
Cartesian
-0.0866 1.6578 7.3163
-1.4984 4.1432 7.3156
1.4625 0.8232 2.6658
0.1020 3.4068 4.7365
2.9119 1.6667 0.0655
1.3824 4.1402 7.3596
4.3502 0.8861 2.6534
2.9832 3.2830 2.6593
-0.0091 1.7222 3.7231
-1.3261 2.5960 6.1988
-0.0706 3.3100 8.3594
2.8542 4.9818 6.4239
2.8952 5.0085 1.8113
-1.4093 4.1770 3.7292
1.2420 2.5676 6.2085
-0.0422 4.8207 6.2099
1.4042 0.7880 8.4053
1.4921 4.2051 3.6937
2.9139 0.1955 1.5351
1.6543 2.4030 1.5402
2.9249 1.6591 3.7006
4.2857 0.7561 8.3864
4.2342 2.4115 1.4985
2.8442 3.2852 8.3893
```

Computed properties:
DOS(E_F) (states/eV/cell): 2.60
Symmetry: P1
Total energy (eV per atom): -13.93

The following is a DFT calculation (meta-GGA SCAN) of a crystal of VNi3P4O16 relaxed with PBEsol.

```
VNi3P4O16
1.0
4.6874 0.0000 -0.0023
0.0000 5.6388 0.0000
-0.1631 0.0000 9.6518
Ni V O P
3 1 16 4
Cartesian
4.4200 0.0000 2.6308
2.4383 0.0000 7.4469
2.0551 2.8194 2.2360
0.0661 2.8194 7.0122
3.8562 2.8194 5.4541
3.4381 1.6085 3.2424
3.4381 4.0303 3.2424
3.4543 0.0000 5.8125
3.3753 0.0000 1.1081
3.5069 1.6559 7.9972
3.5069 3.9829 7.9972
3.1441 2.8194 0.5999
1.4361 0.0000 9.0835
1.0980 4.4468 1.6505
1.0980 1.1920 1.6505
1.2811 2.8194 8.3838
0.9897 2.8194 3.8366
0.9392 4.4316 6.4641
0.9392 1.2072 6.4641
0.7584 0.0000 4.2197
4.1766 2.8194 3.8890
2.7672 2.8194 8.7840
1.8455 0.0000 0.9361
0.2635 0.0000 5.6522
```

Computed properties:
DOS(E_F) (states/eV/cell): 3.32
Symmetry: Pm
Total energy (eV per atom): -10.72

The following is a DFT calculation (meta-GGA SCAN) of a crystal of BeInIN2 relaxed with PBEsol.

```
BeInIN2
1.0
4.0671 0.0000 0.0000
0.0000 4.0671 0.0000
0.0000 0.0000 6.6378
I Be N In
1 1 2 1
Cartesian
0.0000 0.0000 3.3189
2.0336 2.0336 3.3189
0.0000 2.0336 0.0000
2.0336 0.0000 0.0000
0.0000 0.0000 0.0000
```

Computed properties:
DOS(E_F) (states/eV/cell): 2.82
Symmetry: P4/mmm
Total energy (eV per atom): -17.01

The following is a DFT calculation (meta-GGA SCAN) of a crystal of LaB2Rh2C relaxed with PBEsol.

```
LaB2Rh2C
1.0
-0.7324 -1.7396 3.3565
3.5869 0.7604 1.1768
-3.0192 4.9551 -0.2996
C B Rh La
1 2 2 1
Cartesian
0.0000 0.0000 0.0000
0.3021 2.6662 3.6568
-0.4669 1.3096 0.5769
0.9974 2.6129 1.5719
-1.1622 1.3629 2.6617
1.4272 -0.4896 2.2666
```

Computed properties:
DOS(E_F) (states/eV/cell): 2.07
Symmetry: I4/mmm
Total energy (eV per atom): -23.31
ΔE_f (kcal/mol of atoms): -16.3

The following is a DFT calculation (meta-GGA SCAN) of a crystal of Kr relaxed with PBEsol.

```
Kr
1.0
4.1148 0.0000 0.0000
2.0574 3.5635 0.0000
2.0574 1.1878 3.3597
Kr
1
Cartesian
0.0000 0.0000 0.0000
```

Computed properties:
DOS(E_F) (states/eV/cell): 0.00
Symmetry: Fm-3m
Total energy (eV per atom): -19.03
ΔE_f (kcal/mol of atoms): 0.0

The following is a DFT calculation (meta-GGA SCAN) of a crystal of Mo2RhAu relaxed with PBEsol.

```
Mo2RhAu
1.0
2.7296 0.0000 0.0000
0.0000 4.8790 0.0010
0.0000 -1.8999 4.4938
Au Mo Rh
1 2 1
Cartesian
1.3648 1.4895 2.2474
0.0000 2.4395 0.0005
0.0000 -0.9500 2.2469
1.3648 0.0000 0.0000
```

Computed properties:
DOS(E_F) (states/eV/cell): 2.55
E above lowest polymorph (meV per atom): 54
Symmetry: Cmmm
Total energy (eV per atom): -43.15
ΔE_f (kcal/mol of atoms): 0.6

The following is a DFT calculation (meta-GGA SCAN) of a crystal of Zn5Cu3 relaxed with PBEsol.

```
Zn5Cu3
1.0
2.9460 0.0000 0.0000
0.0000 2.9460 0.0000
0.0000 0.0000 11.6792
Cu Zn
3 5
Cartesian
0.0000 0.0000 5.8396
1.4730 1.4730 1.4247
1.4730 1.4730 10.2546
0.0000 0.0000 0.0000
0.0000 0.0000 2.8410
0.0000 0.0000 8.8382
1.4730 1.4730 4.4225
1.4730 1.4730 7.2568
```

Computed properties:
DOS(E_F) (states/eV/cell): 1.85
E above lowest polymorph (meV per atom): 0
Symmetry: P4/mmm
Total energy (eV per atom): -14.22
ΔE_f (kcal/mol of atoms): -1.7

The following is a DFT calculation (meta-GGA SCAN) of a crystal of Ca2HgCl relaxed with PBEsol.

```
Ca2HgCl
1.0
-3.6345 0.3541 1.4151
-3.4127 -4.1246 -2.3137
-1.1337 -4.4324 3.6167
Ca Hg Cl
2 1 1
Cartesian
-4.3470 -6.6078 1.3276
-3.8340 -1.5951 1.3906
-2.2732 -4.2785 0.6515
-1.8173 0.1771 0.7076
```

Computed properties:
DOS(E_F) (states/eV/cell): 3.19
E above lowest polymorph (meV per atom): 60
Symmetry: Immm
Total energy (eV per atom): -24.90

The following is a DFT calculation (meta-GGA SCAN) of a crystal of MgTcPCl2 relaxed with PBEsol.

```
MgTcPCl2
1.0
-0.5699 -3.3137 2.9532
3.5975 1.3992 2.2642
-3.2282 3.3058 3.0864
P Mg Tc Cl
1 1 1 2
Cartesian
-1.6141 1.6529 1.5432
0.0000 0.0000 0.0000
-0.1003 0.6957 4.1519
1.7988 0.6996 1.1321
-0.2850 -1.6568 1.4766
```

Computed properties:
DOS(E_F) (states/eV/cell): 2.50
Symmetry: P4/mmm
Total energy (eV per atom): -13.21

The following is a DFT calculation (meta-GGA SCAN) of a crystal of HfWIN2 relaxed with PBEsol.

```
HfWIN2
1.0
3.9882 0.0000 0.0000
0.0000 3.9882 0.0000
0.0000 0.0000 5.3291
I Hf W N
1 1 1 2
Cartesian
0.0000 0.0000 2.6645
1.9941 1.9941 2.6645
0.0000 0.0000 0.0000
0.0000 1.9941 0.0000
1.9941 0.0000 0.0000
```

Computed properties:
DOS(E_F) (states/eV/cell): 3.26
Symmetry: P4/mmm
Total energy (eV per atom): -36.64

The following is a DFT calculation (meta-GGA SCAN) of a crystal of Ca2BHO relaxed with PBEsol.

```
Ca2BHO
1.0
-2.9949 0.1651 -0.1922
0.1543 -1.9593 -4.0880
-0.3498 -4.0833 1.9438
H Ca B O
1 2 1 1
Cartesian
0.0000 0.0000 0.0000
-0.1749 -2.0417 0.9719
0.0772 -0.9796 -2.0440
-1.4975 0.0825 -0.0961
-1.5952 -2.9388 -1.1682
```

Computed properties:
DOS(E_F) (states/eV/cell): 3.09
Symmetry: P4/mmm
Total energy (eV per atom): -7.81

The following is a DFT calculation (meta-GGA SCAN) of a crystal of Cr3P relaxed with PBEsol.

```
Cr3P
1.0
-4.0089 1.2161 1.3727
-1.4929 -4.0806 -0.7449
1.0652 -1.1422 4.1225
Cr P
6 2
Cartesian
-3.7531 -1.1282 0.6571
-1.7487 -1.7363 -0.0292
-0.5871 -3.6315 1.5026
0.1594 -1.5912 1.8751
-1.7382 0.3225 1.7170
-1.2056 -0.2486 3.7783
0.0000 0.0000 0.0000
-2.2183 -2.0033 2.3752
```

Computed properties:
DOS(E_F) (states/eV/cell): 5.23
E above lowest polymorph (meV per atom): 0
Symmetry: Pm-3n
Total energy (eV per atom): -16.73
ΔE_f (kcal/mol of atoms): -7.8

The following is a DFT calculation (meta-GGA SCAN) of a crystal of TaTi2CdPb relaxed with PBEsol.

```
TaTi2CdPb
1.0
4.7463 0.0000 0.0000
0.0000 4.7463 0.0000
0.0000 0.0000 5.3833
Pb Cd Ti Ta
1 1 2 1
Cartesian
2.3732 2.3732 2.6916
0.0000 0.0000 2.6916
0.0000 2.3732 0.0000
2.3732 0.0000 0.0000
0.0000 0.0000 0.0000
```

Computed properties:
DOS(E_F) (states/eV/cell): 4.36
Symmetry: P4/mmm
Total energy (eV per atom): -40.06
ΔE_f (kcal/mol of atoms): 20.9

The following is a DFT calculation (meta-GGA SCAN) of a crystal of CuNi2Ru relaxed with PBEsol.

```
CuNi2Ru
1.0
-1.6015 0.0687 1.9954
0.2794 -2.5251 0.3112
5.3504 1.1166 4.2559
Ru Cu Ni
1 1 2
Cartesian
-0.6610 -1.2282 1.1533
2.0142 -0.6699 3.2813
3.9904 0.8328 3.1741
1.3600 0.2838 1.0818
```

Computed properties:
DOS(E_F) (states/eV/cell): 4.71
E above lowest polymorph (meV per atom): 0
Symmetry: P4/mmm
Total energy (eV per atom): -20.47
ΔE_f (kcal/mol of atoms): 2.7

The following is a DFT calculation (meta-GGA SCAN) of a crystal of CdTe2Rh relaxed with PBEsol.

```
CdTe2Rh
1.0
3.1127 0.0000 0.0000
0.0000 3.2694 0.0000
0.0000 0.0000 8.9241
Cd Rh Te
1 1 2
Cartesian
1.5564 1.6347 4.4621
1.5564 1.6347 0.0000
0.0000 0.0000 1.7045
0.0000 0.0000 7.2196
```

Computed properties:
DOS(E_F) (states/eV/cell): 1.73
Symmetry: Pmmm
Total energy (eV per atom): -34.65

The following is a DFT calculation (meta-GGA SCAN) of a crystal of AsOF2 relaxed with PBEsol.

```
AsOF2
1.0
3.4000 0.0000 0.0000
0.0000 3.4000 0.0000
-1.7000 -1.7000 7.3088
As O F
2 2 4
Cartesian
0.0000 1.7000 3.6544
0.0000 0.0000 0.0000
1.7000 0.0000 3.6544
1.7000 1.7000 0.0000
0.7566 2.5500 1.8272
2.6434 0.8500 1.8272
-0.8500 -0.9434 5.4816
0.8500 0.9434 5.4816
```

Computed properties:
DOS(E_F) (states/eV/cell): 0.11
Symmetry: I-42d
Total energy (eV per atom): -9.08

The following is a DFT calculation (meta-GGA SCAN) of a crystal of Bi4Se3 relaxed with PBEsol.

```
Bi4Se3
1.0
4.2638 0.0000 0.0000
2.1319 3.6925 0.0000
2.1319 1.2308 13.1487
Bi Se
4 3
Cartesian
2.1319 1.2308 1.8182
6.3957 3.6925 11.3305
2.1319 1.2308 7.4527
6.3957 3.6925 5.6959
0.0000 0.0000 0.0000
4.2638 2.4617 9.8056
4.2638 2.4617 3.3431
```

Computed properties:
DOS(E_F) (states/eV/cell): 0.59
Symmetry: R-3m
Total energy (eV per atom): -53.72